# TaMn2Se | Alexandria via LeMat-Bulk | PBEsol | optimized geometry
# - ΔE_f (raw) (eV per atom) = 0.249
# - magnetization (μB/cell) = 8.3
# - DOS at the Fermi energy (states/eV/f.u.) = 3.00
# - crystal system = trigonal
# - DFT total energy (eV per formula unit) = -34.93
data_TaMn2Se
_symmetry_space_group_name_H-M 'R 3 m'
_symmetry_Int_Tables_number 160
_symmetry_space_group_name_Hall 'R 3 -2"'
_cell_length_a 3.1785
_cell_length_b 3.1785
_cell_length_c 21.4906
_cell_angle_alpha 90.00
_cell_angle_beta 90.00
_cell_angle_gamma 120.00
loop_
_atom_site_label
_atom_site_type_symbol
_atom_site_fract_x
_atom_site_fract_y
_atom_site_fract_z
Ta1 Ta 0.0000 0.0000 0.0000
Mn1 Mn 0.0000 0.0000 0.4873
Mn2 Mn 0.0000 0.0000 0.7454
Se1 Se 0.0000 0.0000 0.2440